Arrangement i

This record from Alexandria via LeMat-Bulk describes MgIBrO2 after structural relaxation. The functional is PBE-GGA.

Results
theoretical density: 3.963 Mg/m³
magnetization: 0.000 μB/cell

a = 4.030 Å, b = 4.030 Å, c = 6.788 Å
α = 90.00°, β = 90.00°, γ = 90.00°
Space group P4/mmm (No. 123)
Inequivalent atoms, fractional coordinates:
Mg  0.000  0.000  0.000 (multiplicity 1)
I  0.500  0.500  0.000 (multiplicity 1)
Br  0.500  0.500  0.500 (multiplicity 1)
O  0.000  0.500  0.500 (multiplicity 2)



Arrangement ii

This record from Alexandria via LeMat-Bulk describes MgIBrO2 after structural relaxation. The functional is PBE-GGA.

Results
theoretical density: 3.682 Mg/m³
magnetization: 1.927 μB/cell

a = 4.096 Å, b = 4.096 Å, c = 7.074 Å
α = 90.00°, β = 90.00°, γ = 90.00°
Space group P4/mmm (No. 123)
Inequivalent atoms, fractional coordinates:
Mg  0.000  0.000  0.000 (multiplicity 1)
I  0.000  0.000  0.500 (multiplicity 1)
Br  0.500  0.500  0.500 (multiplicity 1)
O  0.000  0.500  0.000 (multiplicity 2)



Stability ranking, top and bottom: arrangement ii is the most stable and arrangement i is the least stable.



Arrangement i

This record from Alexandria via LeMat-Bulk describes RbMgIBr2 after structural relaxation. The functional is PBE-GGA.

Results
theoretical density: 3.824 Mg/m³
magnetization: 0.000 μB/cell

a = 5.391 Å, b = 5.391 Å, c = 5.925 Å
α = 90.00°, β = 90.00°, γ = 90.00°
Space group P4/mmm (No. 123)
Inequivalent atoms, fractional coordinates:
Rb  0.000  0.000  0.000 (multiplicity 1)
Mg  0.500  0.500  0.500 (multiplicity 1)
I  0.500  0.500  0.000 (multiplicity 1)
Br  0.000  0.500  0.500 (multiplicity 2)



Arrangement ii

This record from Alexandria via LeMat-Bulk describes RbMgIBr2 after structural relaxation. The functional is PBE-GGA.

Results
theoretical density: 3.576 Mg/m³
magnetization: 0.000 μB/cell

a = 4.601 Å, b = 17.742 Å, c = 9.022 Å
α = 90.00°, β = 90.00°, γ = 90.00°
Space group Cmcm (No. 63)
Inequivalent atoms, fractional coordinates:
Rb  0.000  0.211  0.250 (multiplicity 4)
Mg  0.000  0.500  0.000 (multiplicity 4)
I  0.000  0.003  0.750 (multiplicity 4)
Br  0.000  0.359  0.502 (multiplicity 8)



Stability ranking, top and bottom: arrangement i is the most stable and arrangement ii is the least stable.



Arrangement i

This record from Alexandria via LeMat-Bulk describes MgSbI2Br after structural relaxation. The functional is PBE-GGA.

Results
theoretical density: 4.062 Mg/m³
magnetization: 0.146 μB/cell

a = 5.777 Å, b = 5.777 Å, c = 5.877 Å
α = 90.00°, β = 90.00°, γ = 90.00°
Space group P4/mmm (No. 123)
Inequivalent atoms, fractional coordinates:
Mg  0.000  0.000  0.000 (multiplicity 1)
Sb  0.500  0.500  0.000 (multiplicity 1)
I  0.000  0.500  0.500 (multiplicity 2)
Br  0.500  0.500  0.500 (multiplicity 1)



Arrangement ii

This record from Alexandria via LeMat-Bulk describes MgSbI2Br after structural relaxation. The functional is PBE-GGA.

Results
theoretical density: 4.465 Mg/m³
magnetization: 0.000 μB/cell

a = 5.460 Å, b = 5.460 Å, c = 5.986 Å
α = 90.00°, β = 90.00°, γ = 90.00°
Space group P4/mmm (No. 123)
Inequivalent atoms, fractional coordinates:
Mg  0.000  0.000  0.000 (multiplicity 1)
Sb  0.000  0.000  0.500 (multiplicity 1)
I  0.000  0.500  0.000 (multiplicity 2)
Br  0.500  0.500  0.500 (multiplicity 1)



Stability ranking, top and bottom: arrangement ii is the most stable and arrangement i is the least stable.



Arrangement i

This record from Alexandria via LeMat-Bulk describes MgTe2IBr after structural relaxation. The functional is PBE-GGA.

Results
theoretical density: 4.752 Mg/m³
magnetization: 0.000 μB/cell

a = 5.569 Å, b = 5.569 Å, c = 5.478 Å
α = 90.00°, β = 90.00°, γ = 90.00°
Space group P4/mmm (No. 123)
Inequivalent atoms, fractional coordinates:
Mg  0.000  0.000  0.000 (multiplicity 1)
Te  0.000  0.500  0.000 (multiplicity 2)
I  0.000  0.000  0.500 (multiplicity 1)
Br  0.500  0.500  0.500 (multiplicity 1)



Arrangement ii

This record from Alexandria via LeMat-Bulk describes MgTe2IBr after structural relaxation. The functional is PBE-GGA.

Results
theoretical density: 4.334 Mg/m³
magnetization: 0.284 μB/cell

a = 5.695 Å, b = 5.695 Å, c = 5.745 Å
α = 90.00°, β = 90.00°, γ = 90.00°
Space group P4/mmm (No. 123)
Inequivalent atoms, fractional coordinates:
Mg  0.000  0.000  0.000 (multiplicity 1)
Te  0.000  0.500  0.500 (multiplicity 2)
I  0.500  0.500  0.000 (multiplicity 1)
Br  0.500  0.500  0.500 (multiplicity 1)



Stability ranking, top and bottom: arrangement i is the most stable and arrangement ii is the least stable.



Arrangement i

This record from Alexandria via LeMat-Bulk describes MgTlIBr2 after structural relaxation. The functional is PBE-GGA.

Results
theoretical density: 5.151 Mg/m³
magnetization: 0.000 μB/cell

a = 5.292 Å, b = 5.292 Å, c = 5.932 Å
α = 90.00°, β = 90.00°, γ = 90.00°
Space group P4/mmm (No. 123)
Inequivalent atoms, fractional coordinates:
Mg  0.000  0.000  0.000 (multiplicity 1)
Tl  0.500  0.500  0.500 (multiplicity 1)
I  0.000  0.000  0.500 (multiplicity 1)
Br  0.000  0.500  0.000 (multiplicity 2)



Arrangement ii

This record from Alexandria via LeMat-Bulk describes MgTlIBr2 after structural relaxation. The functional is PBE-GGA.

Results
theoretical density: 4.861 Mg/m³
magnetization: 0.000 μB/cell

a = 4.505 Å, b = 17.497 Å, c = 8.936 Å
α = 90.00°, β = 90.00°, γ = 90.00°
Space group Cmcm (No. 63)
Inequivalent atoms, fractional coordinates:
Mg  0.000  0.000  0.000 (multiplicity 4)
Tl  0.000  0.297  0.250 (multiplicity 4)
I  0.000  0.499  0.750 (multiplicity 4)
Br  0.000  0.143  0.000 (multiplicity 8)



Stability ranking, top and bottom: arrangement i is the most stable and arrangement ii is the least stable.



Arrangement i

This record from Alexandria via LeMat-Bulk describes Mn2I3Br after structural relaxation. The functional is PBE-GGA.

Results
theoretical density: 4.306 Mg/m³
magnetization: 40.000 μB/cell

a = 19.104 Å, b = 4.095 Å, c = 14.121 Å
α = 90.00°, β = 127.20°, γ = 90.00°
Space group C2/m (No. 12)
Inequivalent atoms, fractional coordinates:
Mn  0.244  0.000  0.121 (multiplicity 4)
Mn  0.244  0.500  0.368 (multiplicity 4)
I  0.131  0.000  0.196 (multiplicity 4)
I  0.137  0.500  0.942 (multiplicity 4)
I  0.142  0.500  0.461 (multiplicity 4)
Br  0.164  0.000  0.722 (multiplicity 4)



Arrangement ii

This record from Alexandria via LeMat-Bulk describes Mn2I3Br after structural relaxation. The functional is PBE-GGA.

Results
theoretical density: 3.443 Mg/m³
magnetization: 40.000 μB/cell

a = 30.659 Å, b = 4.354 Å, c = 8.325 Å
α = 90.00°, β = 97.87°, γ = 90.00°
Space group C2/m (No. 12)
Inequivalent atoms, fractional coordinates:
Mn  0.033  0.000  0.188 (multiplicity 4)
Mn  0.239  0.500  0.311 (multiplicity 4)
I  0.056  0.000  0.883 (multiplicity 4)
I  0.064  0.500  0.366 (multiplicity 4)
I  0.204  0.500  0.612 (multiplicity 4)
Br  0.185  0.500  0.083 (multiplicity 4)



Stability ranking, top and bottom: arrangement i is the most stable and arrangement ii is the least stable.



Arrangement i

This record from Alexandria via LeMat-Bulk describes MnI3Br after structural relaxation. The functional is PBE-GGA.

Results
theoretical density: 5.770 Mg/m³
magnetization: 0.000 μB/cell

a = 5.294 Å, b = 5.294 Å, c = 5.294 Å
α = 90.00°, β = 90.00°, γ = 90.00°
Space group Pm-3m (No. 221)
Inequivalent atoms, fractional coordinates:
Mn  0.000  0.000  0.000 (multiplicity 1)
I  0.000  0.000  0.500 (multiplicity 3)
Br  0.500  0.500  0.500 (multiplicity 1)



Arrangement ii

This record from Alexandria via LeMat-Bulk describes MnI3Br after structural relaxation. The functional is PBE-GGA.

Results
theoretical density: 4.021 Mg/m³
magnetization: 5.983 μB/cell

a = 5.971 Å, b = 5.971 Å, c = 5.971 Å
α = 90.00°, β = 90.00°, γ = 90.00°
Space group Pm-3m (No. 221)
Inequivalent atoms, fractional coordinates:
Mn  0.000  0.000  0.000 (multiplicity 1)
I  0.000  0.500  0.500 (multiplicity 3)
Br  0.500  0.500  0.500 (multiplicity 1)



Arrangement iii

This record from Alexandria via LeMat-Bulk describes MnI3Br after structural relaxation. The functional is PBE-GGA.

Results
theoretical density: 4.363 Mg/m³
magnetization: 13.817 μB/cell

a = 14.007 Å, b = 9.102 Å, c = 7.148 Å
α = 90.00°, β = 120.55°, γ = 90.00°
Space group C2/m (No. 12)
Inequivalent atoms, fractional coordinates:
Mn  0.000  0.000  0.000 (multiplicity 2)
Mn  0.000  0.000  0.500 (multiplicity 2)
I  0.000  0.303  0.000 (multiplicity 4)
I  0.000  0.303  0.500 (multiplicity 4)
I  0.171  0.000  0.420 (multiplicity 4)
Br  0.148  0.000  0.897 (multiplicity 4)



Arrangement iv

This record from Alexandria via LeMat-Bulk describes MnI3Br after structural relaxation. The functional is PBE-GGA.

Results
theoretical density: 4.301 Mg/m³
magnetization: 6.019 μB/cell

a = 7.679 Å, b = 8.010 Å, c = 6.473 Å
α = 90.00°, β = 90.00°, γ = 90.00°
Space group Pmn2_1 (No. 31)
Inequivalent atoms, fractional coordinates:
Mn  0.000  0.011  0.000 (multiplicity 2)
I  0.000  0.721  0.820 (multiplicity 2)
I  0.247  0.147  0.743 (multiplicity 4)
Br  0.000  0.265  0.182 (multiplicity 2)



Stability ranking, top and bottom: arrangement iii is the most stable and arrangement ii is the least stable.



Arrangement i

This record from Alexandria via LeMat-Bulk describes MnIBrN2 after structural relaxation. The functional is PBE-GGA.

Results
theoretical density: 5.734 Mg/m³
magnetization: 0.000 μB/cell

a = 3.838 Å, b = 3.838 Å, c = 5.698 Å
α = 90.00°, β = 90.00°, γ = 90.00°
Space group P4/mmm (No. 123)
Inequivalent atoms, fractional coordinates:
Mn  0.000  0.000  0.000 (multiplicity 1)
I  0.000  0.000  0.500 (multiplicity 1)
Br  0.500  0.500  0.500 (multiplicity 1)
N  0.000  0.500  0.000 (multiplicity 2)



Arrangement ii

This record from Alexandria via LeMat-Bulk describes MnIBrN2 after structural relaxation. The functional is PBE-GGA.

Results
theoretical density: 4.250 Mg/m³
magnetization: 3.444 μB/cell

a = 4.012 Å, b = 4.012 Å, c = 7.031 Å
α = 90.00°, β = 90.00°, γ = 90.00°
Space group P4/mmm (No. 123)
Inequivalent atoms, fractional coordinates:
Mn  0.000  0.000  0.000 (multiplicity 1)
I  0.500  0.500  0.000 (multiplicity 1)
Br  0.500  0.500  0.500 (multiplicity 1)
N  0.000  0.500  0.500 (multiplicity 2)



Stability ranking, top and bottom: arrangement i is the most stable and arrangement ii is the least stable.